VASP calculation (PBE-GGA) on HoGaCuRh after structural relaxation.

POSCAR file:
```
HoGaCuRh
1.0
-0.649 -4.034 -2.056
2.246 -0.987 -3.861
3.324 -3.142 0.028
Ho Rh Ga Cu
1 1 1 1
direct
0.500 0.500 0.500 Ho
0.750 0.750 0.750 Rh
0.000 0.000 0.000 Ga
0.250 0.250 0.250 Cu
```

Summary:
The calculation puts the formation energy at -0.502 eV per atom. Its density of states at the Fermi level is 2.91 states/eV/cell.